# Hf2BeAuN, relaxed, DFT PBE-GGA
data_Hf2BeAuN
_cell_length_a 4.5502
_cell_length_b 4.5502
_cell_length_c 3.5156
_cell_angle_alpha 90.00
_cell_angle_beta 90.00
_cell_angle_gamma 90.00
_symmetry_space_group_name_H-M 'P 4/m m m'
_symmetry_Int_Tables_number 123
_symmetry_space_group_name_Hall '-P 4 2'
loop_
_atom_site_label
_atom_site_fract_x
_atom_site_fract_y
_atom_site_fract_z
Hf1 0.0000 0.5000 0.0000
Be1 0.0000 0.0000 0.5000
Au1 0.5000 0.5000 0.5000
N1 0.0000 0.0000 0.0000
# Raw formation energy ... -74.58 kJ per mole of atoms
# Total energy ... -7.82 eV per atom